Record 1
# VSiAuC2 | the Alexandria database | GGA-PBE | optimized geometry
# - raw total energy (eV/f.u.) = -24.6
# - uncorrected formation energy (eV/f.u.) = 11.7
# - crystal system = tetragonal
# - calculated density (Mg/m³) = 6.1
# - D(E_F) (states/eV/atom) = 0.71
data_VSiAuC2
_cell_length_a 3.8700
_cell_length_b 5.4541
_cell_length_c 3.8700
_cell_angle_alpha 90.00
_cell_angle_beta 90.00
_cell_angle_gamma 90.00
_space_group_name_H-M_alt 'P 1'
_space_group_IT_number 1
loop_
_space_group_symop_operation_xyz
'x,y,z'
loop_
_atom_site_label
_atom_site_fract_x
_atom_site_fract_y
_atom_site_fract_z
Si1 0.5000 0.5000 0.5000
Au1 0.0000 0.0000 0.0000
C1 0.0000 0.0000 0.5000
C2 0.5000 0.0000 0.0000
V1 0.0000 0.5000 0.0000

***

Record 2
# Sm12Au3C5 | the Alexandria database | GGA-PBE | optimized geometry
# - raw total energy (eV/f.u.) = -116.2
# - crystal system = cubic
# - calculated density (Mg/m³) = 7.9
# - D(E_F) (states/eV/atom) = 0.94
# - energy of formation from the pure elements (meV/atom) = -180
data_Sm12Au3C5
_cell_length_a 13.8779
_cell_length_b 13.8779
_cell_length_c 13.8779
_cell_angle_alpha 109.47
_cell_angle_beta 109.47
_cell_angle_gamma 109.47
_space_group_name_H-M_alt 'P 1'
_space_group_IT_number 1
loop_
_space_group_symop_operation_xyz
'x,y,z'
loop_
_atom_site_label
_atom_site_fract_x
_atom_site_fract_y
_atom_site_fract_z
C1 0.1250 0.3750 0.2500
C2 0.0000 0.5000 0.0000
C3 0.0000 0.0000 0.0000
C4 0.3750 0.2500 0.1250
C5 0.5000 0.0000 0.5000
C6 0.5000 0.5000 0.0000
C7 0.1250 0.7500 0.3750
C8 0.7500 0.1250 0.8750
C9 0.7500 0.6250 0.3750
C10 0.3750 0.1250 0.7500
C11 0.6250 0.8750 0.2500
C12 0.5000 0.5000 0.5000
C13 0.5000 0.0000 0.0000
C14 0.0000 0.0000 0.5000
C15 0.2500 0.3750 0.6250
C16 0.2500 0.8750 0.1250
C17 0.0000 0.5000 0.5000
C18 0.8750 0.2500 0.6250
C19 0.6250 0.7500 0.8750
C20 0.8750 0.6250 0.7500
Au1 0.7500 0.3750 0.1250
Au2 0.8750 0.7500 0.1250
Au3 0.3750 0.7500 0.6250
Au4 0.2500 0.1250 0.3750
Au5 0.8750 0.1250 0.2500
Au6 0.3750 0.6250 0.2500
Au7 0.6250 0.3750 0.7500
Au8 0.1250 0.8750 0.7500
Au9 0.7500 0.8750 0.6250
Au10 0.6250 0.2500 0.3750
Au11 0.1250 0.2500 0.8750
Au12 0.2500 0.6250 0.8750
Sm1 0.7037 0.1163 0.0221
Sm2 0.3184 0.5221 0.4058
Sm3 0.9779 0.3837 0.2963
Sm4 0.5221 0.2037 0.1163
Sm5 0.5874 0.7037 0.6816
Sm6 0.9779 0.5942 0.1816
Sm7 0.3184 0.7963 0.4126
Sm8 0.0942 0.9126 0.1163
Sm9 0.5942 0.9779 0.6816
Sm10 0.7037 0.5874 0.1816
Sm11 0.7963 0.4779 0.3837
Sm12 0.8184 0.9058 0.0221
Sm13 0.1163 0.7037 0.5221
Sm14 0.3837 0.4058 0.0874
Sm15 0.0874 0.9058 0.3837
Sm16 0.4126 0.1163 0.5942
Sm17 0.0874 0.1816 0.2037
Sm18 0.4779 0.6816 0.0942
Sm19 0.8184 0.9126 0.2963
Sm20 0.1163 0.4126 0.0942
Sm21 0.3837 0.9779 0.7963
Sm22 0.5942 0.6163 0.4126
Sm23 0.9058 0.8184 0.5221
Sm24 0.7963 0.3184 0.9126
Sm25 0.4058 0.3837 0.5874
Sm26 0.0942 0.1816 0.4779
Sm27 0.2037 0.6816 0.0874
Sm28 0.1816 0.0874 0.7037
Sm29 0.6163 0.0221 0.2037
Sm30 0.8837 0.5874 0.9058
Sm31 0.5221 0.3184 0.9058
Sm32 0.5874 0.8837 0.4058
Sm33 0.9126 0.8184 0.7963
Sm34 0.9126 0.0942 0.6163
Sm35 0.8837 0.2963 0.4779
Sm36 0.1816 0.0942 0.9779
Sm37 0.6163 0.5942 0.9126
Sm38 0.4058 0.0221 0.3184
Sm39 0.2963 0.4126 0.8184
Sm40 0.2037 0.5221 0.6163
Sm41 0.9058 0.0874 0.8837
Sm42 0.6816 0.2037 0.5874
Sm43 0.4779 0.7963 0.8837
Sm44 0.0221 0.4058 0.8184
Sm45 0.4126 0.2963 0.3184
Sm46 0.0221 0.6163 0.7037
Sm47 0.6816 0.4779 0.5942
Sm48 0.2963 0.8837 0.9779

***

Record 3
# Sm2AuC | the Alexandria database | GGA-PBE | optimized geometry
# - raw total energy (eV/f.u.) = -23.5
# - crystal system = trigonal
# - calculated density (Mg/m³) = 9.5
# - D(E_F) (states/eV/atom) = 0.85
# - energy of formation from the pure elements (meV/atom) = -401
data_Sm2AuC
_cell_length_a 3.7665
_cell_length_b 3.7665
_cell_length_c 7.5933
_cell_angle_alpha 75.64
_cell_angle_beta 75.64
_cell_angle_gamma 60.00
_space_group_name_H-M_alt 'P 1'
_space_group_IT_number 1
loop_
_space_group_symop_operation_xyz
'x,y,z'
loop_
_atom_site_label
_atom_site_fract_x
_atom_site_fract_y
_atom_site_fract_z
C1 0.0000 0.0000 0.0000
Au1 0.5000 0.5000 0.5000
Sm1 0.2698 0.2698 0.1906
Sm2 0.7302 0.7302 0.8094

***

Record 4
# Sm4Au2C | the Alexandria database | GGA-PBE | optimized geometry
# - raw total energy (eV/f.u.) = -35.5
# - crystal system = tetragonal
# - calculated density (Mg/m³) = 8.9
# - D(E_F) (states/eV/atom) = 1.30
# - energy of formation from the pure elements (meV/atom) = -124
data_Sm4Au2C
_cell_length_a 4.7810
_cell_length_b 4.7810
_cell_length_c 8.9250
_cell_angle_alpha 74.46
_cell_angle_beta 74.46
_cell_angle_gamma 90.00
_space_group_name_H-M_alt 'P 1'
_space_group_IT_number 1
loop_
_space_group_symop_operation_xyz
'x,y,z'
loop_
_atom_site_label
_atom_site_fract_x
_atom_site_fract_y
_atom_site_fract_z
C1 0.0000 0.0000 0.0000
Au1 0.1396 0.1396 0.7207
Au2 0.8604 0.8604 0.2793
Sm1 0.3137 0.3137 0.3727
Sm2 0.6863 0.6863 0.6273
Sm3 0.0000 0.5000 0.0000
Sm4 0.5000 0.0000 0.0000

***

Record 5
# Sm6Au2C | the Alexandria database | GGA-PBE | optimized geometry
# - raw total energy (eV/f.u.) = -48.0
# - crystal system = monoclinic
# - calculated density (Mg/m³) = 8.8
# - D(E_F) (states/eV/atom) = 1.04
# - energy of formation from the pure elements (meV/atom) = -436
data_Sm6Au2C
_cell_length_a 6.7763
_cell_length_b 7.2766
_cell_length_c 10.0153
_cell_angle_alpha 90.00
_cell_angle_beta 88.74
_cell_angle_gamma 90.00
_space_group_name_H-M_alt 'P 1'
_space_group_IT_number 1
loop_
_space_group_symop_operation_xyz
'x,y,z'
loop_
_atom_site_label
_atom_site_fract_x
_atom_site_fract_y
_atom_site_fract_z
Sm1 0.1112 0.0270 0.2600
Sm2 0.1811 0.2951 0.5531
Sm3 0.1987 0.3129 0.9463
Sm4 0.3013 0.8129 0.5537
Sm5 0.3189 0.7951 0.9469
Sm6 0.3888 0.5270 0.2400
Sm7 0.8888 0.9730 0.7400
Sm8 0.8189 0.7049 0.4469
Sm9 0.8013 0.6871 0.0537
Sm10 0.6987 0.1871 0.4463
Sm11 0.6811 0.2049 0.0531
Sm12 0.6112 0.4730 0.7600
Au1 0.0409 0.5826 0.7514
Au2 0.4591 0.0826 0.7486
Au3 0.5409 0.9174 0.2514
Au4 0.9591 0.4174 0.2486
C1 0.5000 0.5000 0.0000
C2 0.0000 0.0000 0.5000

***

Record 6
# SmTh2AuC | the Alexandria database | GGA-PBE | optimized geometry
# - raw total energy (eV/f.u.) = -33.4
# - crystal system = tetragonal
# - calculated density (Mg/m³) = 10.9
# - D(E_F) (states/eV/atom) = 1.18
# - energy of formation from the pure elements (meV/atom) = -276
data_SmTh2AuC
_cell_length_a 5.0149
_cell_length_b 5.0148
_cell_length_c 5.0054
_cell_angle_alpha 90.00
_cell_angle_beta 90.00
_cell_angle_gamma 90.00
_space_group_name_H-M_alt 'P 1'
_space_group_IT_number 1
loop_
_space_group_symop_operation_xyz
'x,y,z'
loop_
_atom_site_label
_atom_site_fract_x
_atom_site_fract_y
_atom_site_fract_z
Sm1 0.0000 0.0000 0.4998
Th1 0.0000 0.5000 0.9997
Th2 0.5000 0.0000 0.9998
Au1 0.5000 0.5000 0.5009
C1 0.0000 0.0000 0.9998

***

Record 7
# Sn3AuC | the Alexandria database | GGA-PBE | optimized geometry
# - raw total energy (eV/f.u.) = -16.2
# - excess energy over the best structure of this formula in the dataset (meV per atom) = 894
# - crystal system = cubic
# - calculated density (Mg/m³) = 6.2
# - D(E_F) (states/eV/atom) = 0.89
# - energy of formation from the pure elements (meV/atom) = 1656
data_Sn3AuC
_cell_length_a 5.3234
_cell_length_b 5.3234
_cell_length_c 5.3234
_cell_angle_alpha 90.00
_cell_angle_beta 90.00
_cell_angle_gamma 90.00
_space_group_name_H-M_alt 'P 1'
_space_group_IT_number 1
loop_
_space_group_symop_operation_xyz
'x,y,z'
loop_
_atom_site_label
_atom_site_fract_x
_atom_site_fract_y
_atom_site_fract_z
C1 0.5000 0.5000 0.5000
Au1 0.0000 0.0000 0.0000
Sn1 0.0000 0.5000 0.0000
Sn2 0.0000 0.0000 0.5000
Sn3 0.5000 0.0000 0.0000

***

Record 8
# SnAu2C | the Alexandria database | GGA-PBE | optimized geometry
# - raw total energy (eV/f.u.) = -14.6
# - excess energy over the best structure of this formula in the dataset (meV per atom) = 540
# - crystal system = cubic
# - calculated density (Mg/m³) = 12.4
# - D(E_F) (states/eV/atom) = 0.36
# - energy of formation from the pure elements (meV/atom) = 1307
data_SnAu2C
_cell_length_a 4.6267
_cell_length_b 4.6267
_cell_length_c 4.6267
_cell_angle_alpha 60.00
_cell_angle_beta 60.00
_cell_angle_gamma 60.00
_space_group_name_H-M_alt 'P 1'
_space_group_IT_number 1
loop_
_space_group_symop_operation_xyz
'x,y,z'
loop_
_atom_site_label
_atom_site_fract_x
_atom_site_fract_y
_atom_site_fract_z
C1 0.0000 0.0000 0.0000
Au1 0.2500 0.2500 0.2500
Au2 0.7500 0.7500 0.7500
Sn1 0.5000 0.5000 0.5000

***

Record 9
# SnAuC2 | the Alexandria database | GGA-PBE | optimized geometry
# - raw total energy (eV/f.u.) = -19.8
# - crystal system = tetragonal
# - calculated density (Mg/m³) = 8.9
# - D(E_F) (states/eV/atom) = 0.61
# - energy of formation from the pure elements (meV/atom) = 1488
data_SnAuC2
_cell_length_a 4.9117
_cell_length_b 4.9117
_cell_length_c 6.3131
_cell_angle_alpha 67.11
_cell_angle_beta 67.11
_cell_angle_gamma 90.00
_space_group_name_H-M_alt 'P 1'
_space_group_IT_number 1
loop_
_space_group_symop_operation_xyz
'x,y,z'
loop_
_atom_site_label
_atom_site_fract_x
_atom_site_fract_y
_atom_site_fract_z
C1 0.6371 0.1250 0.2500
C2 0.1129 0.6250 0.2500
C3 0.3750 0.3629 0.7500
C4 0.8750 0.8871 0.7500
Au1 0.0000 0.0000 0.0000
Au2 0.7500 0.2500 0.5000
Sn1 0.5000 0.5000 0.0000
Sn2 0.2500 0.7500 0.5000

***

Record 10
# SnAuC3 | the Alexandria database | GGA-PBE | optimized geometry
# - raw total energy (eV/f.u.) = -20.6
# - excess energy over the best structure of this formula in the dataset (meV per atom) = 0
# - crystal system = cubic
# - calculated density (Mg/m³) = 7.8
# - D(E_F) (states/eV/atom) = 0.94
# - energy of formation from the pure elements (meV/atom) = 2870
data_SnAuC3
_cell_length_a 4.2185
_cell_length_b 4.2185
_cell_length_c 4.2185
_cell_angle_alpha 90.00
_cell_angle_beta 90.00
_cell_angle_gamma 90.00
_space_group_name_H-M_alt 'P 1'
_space_group_IT_number 1
loop_
_space_group_symop_operation_xyz
'x,y,z'
loop_
_atom_site_label
_atom_site_fract_x
_atom_site_fract_y
_atom_site_fract_z
C1 0.0000 0.5000 0.0000
C2 0.0000 0.0000 0.5000
C3 0.5000 0.0000 0.0000
Au1 0.0000 0.0000 0.0000
Sn1 0.5000 0.5000 0.5000

***

Record 11
# SnAu3C | the Alexandria database | GGA-PBE | optimized geometry
# - raw total energy (eV/f.u.) = -19.6
# - excess energy over the best structure of this formula in the dataset (meV per atom) = 0
# - crystal system = cubic
# - calculated density (Mg/m³) = 13.2
# - D(E_F) (states/eV/atom) = 0.62
# - energy of formation from the pure elements (meV/atom) = 687
data_SnAu3C
_cell_length_a 4.4994
_cell_length_b 4.4994
_cell_length_c 4.4994
_cell_angle_alpha 90.00
_cell_angle_beta 90.00
_cell_angle_gamma 90.00
_space_group_name_H-M_alt 'P 1'
_space_group_IT_number 1
loop_
_space_group_symop_operation_xyz
'x,y,z'
loop_
_atom_site_label
_atom_site_fract_x
_atom_site_fract_y
_atom_site_fract_z
C1 0.0000 0.0000 0.0000
Au1 0.0000 0.5000 0.0000
Au2 0.0000 0.0000 0.5000
Au3 0.5000 0.0000 0.0000
Sn1 0.5000 0.5000 0.5000

***

What is the D(E_F) in the fourth record? 1.30 states/eV/atom

***

Repeat the tenth record exactly.
# SnAuC3 | the Alexandria database | GGA-PBE | optimized geometry
# - raw total energy (eV/f.u.) = -20.6
# - excess energy over the best structure of this formula in the dataset (meV per atom) = 0
# - crystal system = cubic
# - calculated density (Mg/m³) = 7.8
# - D(E_F) (states/eV/atom) = 0.94
# - energy of formation from the pure elements (meV/atom) = 2870
data_SnAuC3
_cell_length_a 4.2185
_cell_length_b 4.2185
_cell_length_c 4.2185
_cell_angle_alpha 90.00
_cell_angle_beta 90.00
_cell_angle_gamma 90.00
_space_group_name_H-M_alt 'P 1'
_space_group_IT_number 1
loop_
_space_group_symop_operation_xyz
'x,y,z'
loop_
_atom_site_label
_atom_site_fract_x
_atom_site_fract_y
_atom_site_fract_z
C1 0.0000 0.5000 0.0000
C2 0.0000 0.0000 0.5000
C3 0.5000 0.0000 0.0000
Au1 0.0000 0.0000 0.0000
Sn1 0.5000 0.5000 0.5000